[1]
Entry from Alexandria: crystalline Nd2Y3ErBi6 at its relaxed geometry (GGA-PBE).

Geometry as POSCAR:
```
Nd2Y3ErBi6
1.0
7.8339 -0.0028 -0.0003
-3.9175 6.7840 -0.0003
-1.3068 -2.2627 7.3762
Bi Nd Er Y
6 2 1 3
Cartesian
-0.0279 -0.0482 5.4832
-1.2845 2.2169 1.8689
0.0475 4.5232 5.5068
2.6375 4.5668 1.8925
3.8941 2.3016 5.5068
2.5622 -0.0047 1.8689
3.9034 2.2672 -0.0003
0.0130 4.5140 -0.0003
0.0000 0.0000 0.0000
1.3048 2.2593 3.6878
-2.5749 4.5000 3.6878
5.1845 0.0186 3.6878
```

electronic total energy: -0.2068 hartree per atom
formation energy from the elements: -0.8963 eV per atom
symmetry: C2/m (12)

***

[2]
Entry from Alexandria: crystalline Er5Ni2Bi at its relaxed geometry (GGA-PBE).

Geometry as POSCAR:
```
Er5Ni2Bi
1.0
-4.5225 -7.2762 1.0540
3.2349 -3.2261 7.3236
-3.0527 7.9580 -1.3637
Er Ni Bi
10 4 2
Cartesian
-3.3914 -5.6772 6.1296
-1.2921 0.3338 3.1171
-0.6438 -5.2512 4.1888
-3.0482 -2.8782 3.8968
-4.7707 2.5860 -0.3887
0.7736 -2.3312 5.1699
-5.1139 -0.2131 1.8441
0.0000 0.0000 0.0000
-0.9489 3.1329 0.8843
0.4304 -5.1303 7.4027
-2.7628 0.8759 0.6734
-1.5775 -3.4203 6.3405
-0.8855 3.0811 3.7264
-3.4548 -5.6255 3.2875
-0.9658 -7.8767 6.2832
-0.3219 -2.6256 2.0944
```

electronic total energy: -0.1930 hartree per atom
formation energy from the elements: -0.4704 eV per atom
symmetry: I4/mcm (140)

***

[3]
Entry from Alexandria: crystalline Er7Ni2Bi2 at its relaxed geometry (GGA-PBE).

Geometry as POSCAR:
```
Er7Ni2Bi2
1.0
-1.9515 -0.1225 -3.1160
1.5690 -9.0476 -2.7985
-6.6080 -6.5977 2.2264
Er Bi Ni
7 2 2
Cartesian
-7.2687 -6.7533 0.4748
-3.3057 -2.7475 -2.1647
-2.2658 -6.0390 -2.6865
-5.2554 -12.5497 -0.5583
-4.1024 -4.8017 0.5866
-7.0100 -9.7311 -1.7417
-3.0967 -10.2165 -2.0019
-4.6193 -7.5471 -1.1533
-0.3318 -8.4781 -1.6304
-4.5332 -12.2294 -3.1947
-0.9662 -3.9851 -1.4097
```

electronic total energy: -0.1879 hartree per atom
formation energy from the elements: -0.4527 eV per atom
symmetry: Imm2 (44)